Entry from Alexandria via LeMat-Bulk: La2CoGe4Ir3 after structural relaxation (PBE-GGA).

DFT formation energy, eV per atom: -0.726
Raw total energy, Ry/atom: -0.5091
Density of states at the Fermi level, states/eV/f.u.: 6.79

Lattice parameters (Å, degrees): 4.2903 4.2903 10.1754 90.00 90.00 90.00
Fractional coordinates of all 10 atoms:
Ge (0.0000, 0.5000, 0.3751)
Ir (0.0000, 0.0000, 0.5000)
Co (0.5000, 0.5000, 0.5000)
La (0.0000, 0.5000, 0.7525)
Ge (0.5000, 0.0000, 0.6249)
Ge (0.5000, 0.5000, 0.0000)
La (0.5000, 0.0000, 0.2475)
Ir (0.5000, 0.0000, 0.8710)
Ir (0.0000, 0.5000, 0.1290)
Ge (0.0000, 0.0000, 0.0000)

=====

Entry from Alexandria via LeMat-Bulk: Ho5Ge3C after structural relaxation (PBE-GGA).

DFT formation energy, eV per atom: -0.736
Raw total energy, Ry/atom: -0.4294
Density of states at the Fermi level, states/eV/f.u.: 7.29

Lattice parameters (Å, degrees): 8.4629 8.4629 6.4517 90.00 90.00 120.00
Fractional coordinates of all 18 atoms:
C (0.0000, 0.0000, 0.5000)
Ge (0.4105, 0.0000, 0.2500)
Ho (0.2208, 0.2208, 0.2500)
Ho (0.3333, 0.6667, 0.0000)
Ho (0.6667, 0.3333, 0.5000)
C (0.0000, 0.0000, 0.0000)
Ho (0.0000, 0.2208, 0.7500)
Ge (0.5895, 0.0000, 0.7500)
Ho (0.7792, 0.0000, 0.2500)
Ho (0.6667, 0.3333, 0.0000)
Ho (0.0000, 0.7792, 0.2500)
Ge (0.4105, 0.4105, 0.7500)
Ho (0.3333, 0.6667, 0.5000)
Ge (0.0000, 0.4105, 0.2500)
Ge (0.5895, 0.5895, 0.2500)
Ho (0.2208, 0.0000, 0.7500)
Ho (0.7792, 0.7792, 0.7500)
Ge (0.0000, 0.5895, 0.7500)

=====

Entry from Alexandria via LeMat-Bulk: GaPIrS2 after structural relaxation (PBE-GGA).

Formation energy without anion corrections, eV/f.u.: 2.25
Raw total energy, Ry/atom: -0.3426
Excess energy over the best structure of this formula in the dataset, kJ/mol of formula units: 0
Density of states at the Fermi level, states/eV/f.u.: 6.31

Lattice parameters (Å, degrees): 4.9225 4.9225 4.3920 90.00 90.00 90.00
Fractional coordinates of all 5 atoms:
Ir (0.0000, 0.0000, 0.0000)
Ga (0.5000, 0.5000, 0.5000)
S (0.5000, 0.0000, 0.0000)
P (0.0000, 0.0000, 0.5000)
S (0.0000, 0.5000, 0.0000)

=====

Entry from Alexandria via LeMat-Bulk: RbYSeCl2O3 after structural relaxation (PBE-GGA).

Formation energy without anion corrections, eV/f.u.: -16.06
Raw total energy, Ry/atom: -0.4184
Density of states at the Fermi level, states/eV/f.u.: 0.00

Lattice parameters (Å, degrees): 6.6392 7.1058 8.9867 99.39 105.80 88.56
Fractional coordinates of all 16 atoms:
O (0.0009, 0.2623, 0.0584)
O (0.3151, 0.0701, 0.9697)
O (0.6849, 0.9299, 0.0303)
Cl (0.3842, 0.8177, 0.2827)
Rb (0.7351, 0.7242, 0.6058)
Rb (0.2649, 0.2758, 0.3942)
Se (0.1289, 0.2418, 0.9161)
Y (0.3590, 0.7471, 0.9778)
Cl (0.6158, 0.1823, 0.7173)
O (0.6810, 0.5757, 0.0147)
O (0.3190, 0.4243, 0.9853)
Cl (0.2603, 0.6730, 0.6659)
Y (0.6410, 0.2529, 0.0222)
Se (0.8711, 0.7582, 0.0839)
O (0.9991, 0.7377, 0.9416)
Cl (0.7397, 0.3270, 0.3341)

=====

Entry from Alexandria via LeMat-Bulk: Cr2AgPd2 after structural relaxation (PBE-GGA).

DFT formation energy, eV per atom: 0.396
Raw total energy, Ry/atom: -0.4484
Excess energy over the best structure of this formula in the dataset, kJ/mol of formula units: 81
Density of states at the Fermi level, states/eV/f.u.: 10.02

Lattice parameters (Å, degrees): 7.4788 7.4788 2.6627 90.00 90.00 90.00
Fractional coordinates of all 10 atoms:
Pd (0.1276, 0.3724, 0.0000)
Pd (0.3724, 0.8724, 0.0000)
Ag (0.0000, 0.0000, 0.0000)
Ag (0.5000, 0.5000, 0.0000)
Cr (0.3309, 0.1691, 0.5000)
Pd (0.8724, 0.6276, 0.0000)
Cr (0.1691, 0.6691, 0.5000)
Cr (0.8309, 0.3309, 0.5000)
Cr (0.6691, 0.8309, 0.5000)
Pd (0.6276, 0.1276, 0.0000)

=====

Entry from Alexandria via LeMat-Bulk: SrLa3Tc after structural relaxation (PBE-GGA).

DFT formation energy, eV per atom: 1.804
Raw total energy, Ry/atom: -0.2618
Excess energy over the best structure of this formula in the dataset, kJ/mol of formula units: 875
Density of states at the Fermi level, states/eV/f.u.: 12.11

Lattice parameters (Å, degrees): 5.5995 5.5995 5.5995 90.00 90.00 90.00
Last column: magnetic moment on the atom in μB.
Fractional coordinates of all 5 atoms:
La (0.0000, 0.0000, 0.5000)  0.20
La (0.0000, 0.5000, 0.0000)  0.06
La (0.5000, 0.0000, 0.0000)  0.05
Tc (0.5000, 0.5000, 0.5000)  -0.12
Sr (0.0000, 0.0000, 0.0000)  0.17